(1)
Density functional theory data (PBE-GGA) for an optimized crystal structure of NaAcAlAu.

It has space group F-43m (No. 216), with a = 7.335 Å, b = 7.335 Å, c = 7.335 Å, α = 90.00°, β = 90.00° and γ = 90.00°. The inequivalent atoms are Na at (0.000, 0.000, 0.000), Ac at (0.250, 0.250, 0.750), Al at (0.250, 0.250, 0.250) and Au at (0.000, 0.000, 0.500).

The total energy is -3.38 eV/atom.

***

(2)
Density functional theory data (PBE-GGA) for an optimized crystal structure of NaAc2Al3Au12.

It has space group R-3m (No. 166, hexagonal axes), with a = 9.3059 Å, b = 9.3059 Å, c = 17.5978 Å, α = 90.00°, β = 90.00° and γ = 120.00°. The inequivalent atoms are Na at (0.0000, 0.0000, 0.0000), Ac at (0.0000, 0.0000, 0.3889), Al at (0.0000, 0.5000, 0.5000), Au at (0.0046, 0.5023, 0.3580) and Au at (0.0186, 0.5093, 0.8194).

The total energy is -3.59 eV/atom.